A.
This record from the Alexandria database describes H3PbO after structural relaxation. The functional is PBE-GGA.

Results
Space group ... Pm-3m (221)
Mass density ... 6.37 g/cm³

a b c (Å): 3.893 3.893 3.893
angles (deg): 90.00 90.00 90.00
Fractional coordinates of all 5 atoms:
H (0.000, 0.000, 0.500)
H (0.000, 0.500, 0.000)
H (0.500, 0.000, 0.000)
Pb (0.000, 0.000, 0.000)
O (0.500, 0.500, 0.500)

B.
This record from the Alexandria database describes H3PbO after structural relaxation. The functional is PBE-GGA.

Results
Space group ... Pm-3m (221)
Mass density ... 8.18 g/cm³

a b c (Å): 3.580 3.580 3.580
angles (deg): 90.00 90.00 90.00
Fractional coordinates of all 5 atoms:
H (0.000, 0.000, 0.500)
H (0.000, 0.500, 0.000)
H (0.500, 0.000, 0.000)
Pb (0.500, 0.500, 0.500)
O (0.000, 0.000, 0.000)

Short version: A is the least stable of them.

A.
This record from the Alexandria database describes HPbO2 after structural relaxation. The functional is PBE-GGA.

Results
Space group ... P1 (1)
Mass density ... 7.25 g/cm³

a b c (Å): 3.477 4.125 4.519
angles (deg): 79.13 68.41 66.03
Fractional coordinates of all 4 atoms:
H (0.000, 0.000, 0.000)
Pb (0.566, 0.369, 0.504)
O (0.918, 0.764, 0.417)
O (0.922, 0.250, 0.914)

B.
This record from the Alexandria database describes HPbO2 after structural relaxation. The functional is PBE-GGA.

Results
Space group ... R-3m (166)
Mass density ... 7.49 g/cm³

a b c (Å): 5.116 5.116 5.116
angles (deg): 41.56 41.56 41.56
Fractional coordinates of all 4 atoms:
H (0.000, 0.000, 0.000)
Pb (0.500, 0.500, 0.500)
O (0.087, 0.087, 0.087)
O (0.913, 0.913, 0.913)

C.
This record from the Alexandria database describes HPbO2 after structural relaxation. The functional is PBE-GGA.

Results
Space group ... I-42d (122)
Mass density ... 8.26 g/cm³

a b c (Å): 5.657 5.657 5.657
angles (deg): 132.49 132.49 69.46
Fractional coordinates of all 8 atoms:
H (0.000, 0.000, 0.000)
H (0.750, 0.250, 0.500)
Pb (0.250, 0.750, 0.500)
Pb (0.500, 0.500, 0.000)
O (0.036, 0.625, 0.911)
O (0.375, 0.286, 0.411)
O (0.714, 0.125, 0.089)
O (0.875, 0.964, 0.589)

Short version: C is the least stable of them.

A.
This record from the Alexandria database describes HPbO2 after structural relaxation. The functional is PBE-GGA.

Results
Space group ... Fm-3m (225)
Mass density ... 9.52 g/cm³

a b c (Å): 3.899 3.899 3.899
angles (deg): 60.00 60.00 60.00
Fractional coordinates of all 4 atoms:
H (0.000, 0.000, 0.000)
Pb (0.500, 0.500, 0.500)
O (0.250, 0.250, 0.250)
O (0.750, 0.750, 0.750)

B.
This record from the Alexandria database describes HPbO2 after structural relaxation. The functional is PBE-GGA.

Results
Space group ... R-3m (166)
Mass density ... 8.24 g/cm³

a b c (Å): 5.989 5.989 5.989
angles (deg): 30.29 30.29 30.29
Fractional coordinates of all 4 atoms:
H (0.000, 0.000, 0.000)
Pb (0.500, 0.500, 0.500)
O (0.380, 0.380, 0.380)
O (0.620, 0.620, 0.620)

Short version: B is the least stable of them.

A.
This record from the Alexandria database describes H3PdO after structural relaxation. The functional is PBE-GGA.

Results
Space group ... Pm-3m (221)
Mass density ... 6.25 g/cm³

a b c (Å): 3.217 3.217 3.217
angles (deg): 90.00 90.00 90.00
Fractional coordinates of all 5 atoms:
H (0.000, 0.000, 0.500)
H (0.000, 0.500, 0.000)
H (0.500, 0.000, 0.000)
Pd (0.500, 0.500, 0.500)
O (0.000, 0.000, 0.000)

B.
This record from the Alexandria database describes H3PdO after structural relaxation. The functional is PBE-GGA.

Results
Space group ... Pm-3m (221)
Mass density ... 5.15 g/cm³

a b c (Å): 3.433 3.433 3.433
angles (deg): 90.00 90.00 90.00
Fractional coordinates of all 5 atoms:
H (0.000, 0.000, 0.500)
H (0.000, 0.500, 0.000)
H (0.500, 0.000, 0.000)
Pd (0.000, 0.000, 0.000)
O (0.500, 0.500, 0.500)

Short version: B is the least stable of them.

A.
This record from the Alexandria database describes HPd2O after structural relaxation. The functional is PBE-GGA.

Results
Space group ... I-42d (122)
Mass density ... 8.20 g/cm³

a b c (Å): 5.458 5.458 5.458
angles (deg): 130.03 130.03 73.36
Fractional coordinates of all 8 atoms:
H (0.000, 0.000, 0.000)
H (0.750, 0.250, 0.500)
Pd (0.071, 0.625, 0.946)
Pd (0.375, 0.321, 0.446)
Pd (0.679, 0.125, 0.054)
Pd (0.875, 0.929, 0.554)
O (0.250, 0.750, 0.500)
O (0.500, 0.500, 0.000)

B.
This record from the Alexandria database describes HPd2O after structural relaxation. The functional is PBE-GGA.

Results
Space group ... Fm-3m (225)
Mass density ... 8.80 g/cm³

a b c (Å): 3.944 3.944 3.944
angles (deg): 60.00 60.00 60.00
Fractional coordinates of all 4 atoms:
H (0.000, 0.000, 0.000)
Pd (0.250, 0.250, 0.250)
Pd (0.750, 0.750, 0.750)
O (0.500, 0.500, 0.500)

Short version: B is the least stable of them.

A.
This record from the Alexandria database describes PmHO after structural relaxation. The functional is PBE-GGA.

Results
Space group ... P3m1 (156)
Mass density ... 4.40 g/cm³

a b c (Å): 3.737 3.737 5.059
angles (deg): 90.00 90.00 120.00
Fractional coordinates of all 3 atoms:
Pm (0.000, 0.000, 0.000)
H (0.667, 0.333, 0.241)
O (0.333, 0.667, 0.871)

B.
This record from the Alexandria database describes PmHO after structural relaxation. The functional is PBE-GGA.

Results
Space group ... P4/nmm (129)
Mass density ... 6.05 g/cm³

a b c (Å): 3.999 3.999 5.561
angles (deg): 90.00 90.00 90.00
Fractional coordinates of all 6 atoms:
Pm (0.250, 0.250, 0.214)
Pm (0.750, 0.750, 0.786)
H (0.250, 0.750, 0.500)
H (0.750, 0.250, 0.500)
O (0.250, 0.750, 0.000)
O (0.750, 0.250, 0.000)

C.
This record from the Alexandria database describes PmHO after structural relaxation. The functional is PBE-GGA.

Results
Space group ... F-43m (216)
Mass density ... 6.46 g/cm³

a b c (Å): 3.890 3.890 3.890
angles (deg): 60.00 60.00 60.00
Fractional coordinates of all 3 atoms:
Pm (0.000, 0.000, 0.000)
H (0.750, 0.750, 0.750)
O (0.250, 0.250, 0.250)

Short version: A is the least stable of them.

A.
This record from the Alexandria database describes Pm2HO after structural relaxation. The functional is PBE-GGA.

Results
Space group ... R-3m (166)
Mass density ... 7.79 g/cm³

a b c (Å): 6.168 6.168 6.168
angles (deg): 34.02 34.02 34.02
Fractional coordinates of all 4 atoms:
Pm (0.245, 0.245, 0.245)
Pm (0.755, 0.755, 0.755)
H (0.000, 0.000, 0.000)
O (0.500, 0.500, 0.500)

B.
This record from the Alexandria database describes Pm2HO after structural relaxation. The functional is PBE-GGA.

Results
Space group ... R3m (160)
Mass density ... 7.54 g/cm³

a b c (Å): 6.273 6.273 6.273
angles (deg): 33.66 33.66 33.66
Fractional coordinates of all 4 atoms:
Pm (0.000, 0.000, 0.000)
Pm (0.185, 0.185, 0.185)
H (0.414, 0.414, 0.414)
O (0.592, 0.592, 0.592)

Short version: B is the least stable of them.

A.
This record from the Alexandria database describes PrHO after structural relaxation. The functional is PBE-GGA.

Results
Space group ... P2_1/m (11)
Mass density ... 5.58 g/cm³

a b c (Å): 4.070 4.075 5.666
angles (deg): 90.00 90.57 90.00
Fractional coordinates of all 6 atoms:
Pr (0.248, 0.250, 0.285)
Pr (0.752, 0.750, 0.715)
H (0.251, 0.750, 0.001)
H (0.749, 0.250, 0.999)
O (0.249, 0.750, 0.500)
O (0.751, 0.250, 0.500)

B.
This record from the Alexandria database describes PrHO after structural relaxation. The functional is PBE-GGA.

Results
Space group ... F-43m (216)
Mass density ... 5.93 g/cm³

a b c (Å): 3.969 3.969 3.969
angles (deg): 60.00 60.00 60.00
Fractional coordinates of all 3 atoms:
Pr (0.000, 0.000, 0.000)
H (0.250, 0.250, 0.250)
O (0.750, 0.750, 0.750)

C.
This record from the Alexandria database describes PrHO after structural relaxation. The functional is PBE-GGA.

Results
Space group ... P3m1 (156)
Mass density ... 4.12 g/cm³

a b c (Å): 3.824 3.824 5.032
angles (deg): 90.00 90.00 120.00
Fractional coordinates of all 3 atoms:
Pr (0.000, 0.000, 0.000)
H (0.667, 0.333, 0.248)
O (0.333, 0.667, 0.874)

Short version: C is the least stable of them.

A.
This record from the Alexandria database describes Pu2HO after structural relaxation. The functional is PBE-GGA.

Results
Space group ... R3m (160)
Mass density ... 13.24 g/cm³

a b c (Å): 6.370 6.370 6.370
angles (deg): 31.69 31.69 31.69
Fractional coordinates of all 4 atoms:
Pu (0.000, 0.000, 0.000)
Pu (0.172, 0.172, 0.172)
H (0.586, 0.586, 0.586)
O (0.424, 0.424, 0.424)

B.
This record from the Alexandria database describes Pu2HO after structural relaxation. The functional is PBE-GGA.

Results
Space group ... R-3m (166)
Mass density ... 13.58 g/cm³

a b c (Å): 6.112 6.112 6.112
angles (deg): 33.44 33.44 33.44
Fractional coordinates of all 4 atoms:
Pu (0.249, 0.249, 0.249)
Pu (0.751, 0.751, 0.751)
H (0.000, 0.000, 0.000)
O (0.500, 0.500, 0.500)

Short version: A is the least stable of them.

A.
This record from the Alexandria database describes Rb3HO2 after structural relaxation. The functional is PBE-GGA.

Results
Space group ... Pnnm (58)
Mass density ... 3.80 g/cm³

a b c (Å): 6.637 9.407 4.047
angles (deg): 90.00 90.00 90.00
Fractional coordinates of all 12 atoms:
Rb (0.000, 0.000, 0.000)
Rb (0.003, 0.323, 0.500)
Rb (0.497, 0.823, 0.000)
Rb (0.500, 0.500, 0.500)
Rb (0.503, 0.177, 0.000)
Rb (0.997, 0.677, 0.500)
H (0.000, 0.500, 0.000)
H (0.500, 0.000, 0.500)
O (0.190, 0.503, 0.000)
O (0.310, 0.003, 0.500)
O (0.690, 0.997, 0.500)
O (0.810, 0.497, 0.000)

B.
This record from the Alexandria database describes Rb3HO2 after structural relaxation. The functional is PBE-GGA.

Results
Space group ... Cmmm (65)
Mass density ... 3.03 g/cm³

a b c (Å): 6.911 6.911 3.865
angles (deg): 90.00 90.00 120.86
Fractional coordinates of all 6 atoms:
Rb (0.000, 0.000, 0.000)
Rb (0.361, 0.639, 0.000)
Rb (0.639, 0.361, 0.000)
H (0.500, 0.500, 0.500)
O (0.316, 0.316, 0.500)
O (0.684, 0.684, 0.500)

Short version: B is the least stable of them.

A.
This record from the Alexandria database describes RbH2O after structural relaxation. The functional is PBE-GGA.

Results
Space group ... I4_1/amd (141)
Mass density ... 3.44 g/cm³

a b c (Å): 5.214 5.214 5.214
angles (deg): 120.32 120.32 89.45
Fractional coordinates of all 8 atoms:
Rb (0.375, 0.625, 0.750)
Rb (0.625, 0.375, 0.250)
H (0.000, 0.000, 0.000)
H (0.000, 0.000, 0.500)
H (0.000, 0.500, 0.000)
H (0.500, 0.000, 0.500)
O (0.125, 0.875, 0.250)
O (0.875, 0.125, 0.750)

B.
This record from the Alexandria database describes RbH2O after structural relaxation. The functional is PBE-GGA.

Results
Space group ... R-3m (166)
Mass density ... 2.12 g/cm³

a b c (Å): 6.369 6.369 6.369
angles (deg): 77.76 77.76 77.76
Fractional coordinates of all 12 atoms:
Rb (0.000, 0.000, 0.000)
Rb (0.320, 0.320, 0.320)
Rb (0.680, 0.680, 0.680)
H (0.127, 0.500, 0.873)
H (0.127, 0.873, 0.500)
H (0.500, 0.127, 0.873)
H (0.500, 0.873, 0.127)
H (0.873, 0.127, 0.500)
H (0.873, 0.500, 0.127)
O (0.000, 0.000, 0.500)
O (0.000, 0.500, 0.000)
O (0.500, 0.000, 0.000)

Short version: A is the least stable of them.

A.
This record from the Alexandria database describes RbH2O after structural relaxation. The functional is PBE-GGA.

Results
Space group ... R-3m (166)
Mass density ... 4.00 g/cm³

a b c (Å): 4.973 4.973 4.973
angles (deg): 38.54 38.54 38.54
Fractional coordinates of all 4 atoms:
Rb (0.000, 0.000, 0.000)
H (0.182, 0.182, 0.182)
H (0.818, 0.818, 0.818)
O (0.500, 0.500, 0.500)

B.
This record from the Alexandria database describes RbH2O after structural relaxation. The functional is PBE-GGA.

Results
Space group ... Fm-3m (225)
Mass density ... 3.18 g/cm³

a b c (Å): 4.242 4.242 4.242
angles (deg): 60.00 60.00 60.00
Fractional coordinates of all 4 atoms:
Rb (0.000, 0.000, 0.000)
H (0.250, 0.250, 0.250)
H (0.750, 0.750, 0.750)
O (0.500, 0.500, 0.500)

Short version: B is the least stable of them.